Entry w
Here is crystalline AgGeI2 at its relaxed geometry from Alexandria via LeMat-Bulk. Energies are from PBE.

Summary:
crystal system	cubic
space-group type	No. 225

a b c (Å): 5.3839 5.3839 5.3839
angles (deg): 60.00 60.00 60.00
Fractional positions:
Ge: 0.0000 0.0000 0.0000
Ag: 0.5000 0.5000 0.5000
I: 0.7500 0.7500 0.7500
I: 0.2500 0.2500 0.2500

***

Entry x
Here is crystalline AgGeI2 at its relaxed geometry from Alexandria via LeMat-Bulk. Energies are from PBE.

Summary:
crystal system	tetragonal
space-group type	No. 122

a b c (Å): 5.9976 5.9976 9.3331
angles (deg): 71.26 71.26 90.00
Fractional positions:
I: 0.6310 0.1250 0.2500
I: 0.1190 0.6250 0.2500
I: 0.8750 0.8810 0.7500
I: 0.3750 0.3690 0.7500
Ag: 0.7500 0.2500 0.5000
Ag: 0.0000 0.0000 0.0000
Ge: 0.2500 0.7500 0.5000
Ge: 0.5000 0.5000 0.0000

***

Entry y
Here is crystalline AgGeI2 at its relaxed geometry from Alexandria via LeMat-Bulk. Energies are from PBE.

Summary:
crystal system	trigonal
space-group type	No. 166

a b c (Å): 4.1890 4.1890 9.8458
angles (deg): 77.72 77.72 60.00
Fractional positions:
I: 0.8991 0.8991 0.3027
I: 0.1009 0.1009 0.6973
Ag: 0.0000 0.0000 0.0000
Ge: 0.5000 0.5000 0.5000

***

What should be chosen as the least stable of them? Choose entry w.

***

Entry w
Here is crystalline AgGe2I at its relaxed geometry from Alexandria via LeMat-Bulk. Energies are from PBE.

Summary:
crystal system	cubic
space-group type	No. 225

a b c (Å): 5.0849 5.0849 5.0849
angles (deg): 60.00 60.00 60.00
Fractional positions:
I: 0.5000 0.5000 0.5000
Ag: 0.0000 0.0000 0.0000
Ge: 0.7500 0.7500 0.7500
Ge: 0.2500 0.2500 0.2500

***

Entry x
Here is crystalline AgGe2I at its relaxed geometry from Alexandria via LeMat-Bulk. Energies are from PBE.

Summary:
crystal system	tetragonal
space-group type	No. 122

a b c (Å): 6.2826 6.2826 7.8241
angles (deg): 66.33 66.33 90.00
Fractional positions:
I: 0.0000 0.0000 0.0000
I: 0.7500 0.2500 0.5000
Ag: 0.2500 0.7500 0.5000
Ag: 0.5000 0.5000 0.0000
Ge: 0.1960 0.6250 0.2500
Ge: 0.3750 0.4460 0.7500
Ge: 0.8750 0.8040 0.7500
Ge: 0.5540 0.1250 0.2500

***

What should be chosen as the least stable of them? Choose entry w.

***

Entry w
Here is crystalline AgGeTe2I at its relaxed geometry from Alexandria via LeMat-Bulk. Energies are from PBE.

Summary:
crystal system	tetragonal
space-group type	No. 123

a b c (Å): 5.4380 5.4380 5.7863
angles (deg): 90.00 90.00 90.00
Fractional positions:
I: 0.0000 0.0000 0.5000
Ag: 0.5000 0.5000 0.5000
Te: 0.5000 0.0000 0.0000
Te: 0.0000 0.5000 0.0000
Ge: 0.0000 0.0000 0.0000

***

Entry x
Here is crystalline AgGeTe2I at its relaxed geometry from Alexandria via LeMat-Bulk. Energies are from PBE.

Summary:
crystal system	tetragonal
space-group type	No. 123

a b c (Å): 5.4745 5.4745 5.4818
angles (deg): 90.00 90.00 90.00
Fractional positions:
Ag: 0.0000 0.0000 0.0000
Ge: 0.5000 0.5000 0.5000
Te: 0.0000 0.5000 0.0000
Te: 0.5000 0.0000 0.0000
I: 0.0000 0.0000 0.5000

***

What should be chosen as the least stable of them? Choose entry x.